# GGA-PBE GeAsSe2I, optimized geometry
# Energy = -15.07 eV for the cell shown
# Energy relative to the lowest polymorph listed for this composition = 0.00 eV per formula unit
# Formation energy (no corrections) = 0.54 eV/atom
data_GeAsSe2I
_symmetry_space_group_name_H-M 'P 4/m m m'
_symmetry_Int_Tables_number 123
_symmetry_space_group_name_Hall '-P 4 2'
_cell_length_a 4.914
_cell_length_b 4.914
_cell_length_c 5.471
_cell_angle_alpha 90.00
_cell_angle_beta 90.00
_cell_angle_gamma 90.00
loop_
_atom_site_label
_atom_site_fract_x
_atom_site_fract_y
_atom_site_fract_z
_atom_site_occupancy
Ge1 0.000 0.000 0.000 1
As1 0.000 0.000 0.500 1
Se1 0.000 0.500 0.000 1
I1 0.500 0.500 0.500 1